No. 1
# Rb3P3H5N | the Alexandria database | PBE | relaxed
# - Final energy: -387.88 eV for the cell shown
# - Magnetic moment: 0.000 μB/atom
data_Rb3P3H5N
_space_group_name_H-M_alt 'P b c a'
_space_group_IT_number 61
_space_group_name_Hall '-P 2ac 2ab'
_cell_length_a 9.6965
_cell_length_b 15.4907
_cell_length_c 13.0939
_cell_angle_alpha 90.00
_cell_angle_beta 90.00
_cell_angle_gamma 90.00
loop_
_atom_site_label
_atom_site_fract_x
_atom_site_fract_y
_atom_site_fract_z
Rb1 0.0573 0.0916 0.0915
Rb2 0.1042 0.1095 0.5920
Rb3 0.2358 0.2339 0.3302
P1 0.0448 0.6429 0.6611
P2 0.0671 0.6164 0.1432
P3 0.1244 0.7432 0.0757
H1 0.1535 0.6209 0.7330
H2 0.1720 0.0201 0.3685
H3 0.1804 0.5936 0.2112
H4 0.1920 0.0450 0.8693
H5 0.1983 0.5442 0.9666
N1 0.2483 0.5052 0.9142

***

No. 2
# Fe4AgRu | the Alexandria database | PBE | relaxed
# - Energy of formation from the pure elements: 0.267 eV/atom
# - Magnetic moment: 1.532 μB/atom
data_Fe4AgRu
_space_group_name_H-M_alt 'F -4 3 m'
_space_group_IT_number 216
_space_group_name_Hall 'F -4 2 3'
_cell_length_a 6.7549
_cell_length_b 6.7549
_cell_length_c 6.7549
_cell_angle_alpha 90.00
_cell_angle_beta 90.00
_cell_angle_gamma 90.00
loop_
_atom_site_label
_atom_site_fract_x
_atom_site_fract_y
_atom_site_fract_z
Fe1 0.1248 0.1248 0.1248
Ag1 0.0000 0.0000 0.5000
Ru1 0.2500 0.2500 0.7500

***

No. 3
# CrCd2Se | the Alexandria database | PBE | relaxed
# - Formation energy (no corrections): 0.78 eV per formula unit
# - Magnetic moment: 0.984 μB/atom
data_CrCd2Se
_space_group_name_H-M_alt 'I -4 m 2'
_space_group_IT_number 119
_space_group_name_Hall 'I -4 -2'
_cell_length_a 4.3517
_cell_length_b 4.3517
_cell_length_c 8.7103
_cell_angle_alpha 90.00
_cell_angle_beta 90.00
_cell_angle_gamma 90.00
loop_
_atom_site_label
_atom_site_fract_x
_atom_site_fract_y
_atom_site_fract_z
Cr1 0.0000 0.0000 0.0000
Cd1 0.0000 0.0000 0.5000
Cd2 0.0000 0.5000 0.2500
Se1 0.0000 0.5000 0.7500

***

No. 4
# YSc2Sn | the Alexandria database | PBE | relaxed
# - Energy of formation from the pure elements: -0.482 eV/atom
# - Magnetic moment: 0.000 μB/atom
data_YSc2Sn
_space_group_name_H-M_alt 'P 1 21/m 1'
_space_group_IT_number 11
_space_group_name_Hall '-P 2yb'
_cell_length_a 4.3943
_cell_length_b 4.4781
_cell_length_c 10.8754
_cell_angle_alpha 90.00
_cell_angle_beta 101.61
_cell_angle_gamma 90.00
loop_
_atom_site_label
_atom_site_fract_x
_atom_site_fract_y
_atom_site_fract_z
Y1 0.1895 0.2500 0.3805
Sc1 0.0548 0.7500 0.1102
Sc2 0.4397 0.7500 0.8788
Sn1 0.3410 0.2500 0.6803

***

No. 5
# La2InHPb | the Alexandria database | PBE | relaxed
# - Distance to the lowest polymorph of the same formula: 0 meV/atom
# - Magnetic moment: 0.000 μB/atom
data_La2InHPb
_space_group_name_H-M_alt 'P 4/m m m'
_space_group_IT_number 123
_space_group_name_Hall '-P 4 2'
_cell_length_a 5.0539
_cell_length_b 5.0539
_cell_length_c 4.8279
_cell_angle_alpha 90.00
_cell_angle_beta 90.00
_cell_angle_gamma 90.00
loop_
_atom_site_label
_atom_site_fract_x
_atom_site_fract_y
_atom_site_fract_z
La1 0.0000 0.5000 0.0000
In1 0.0000 0.0000 0.5000
H1 0.0000 0.0000 0.0000
Pb1 0.5000 0.5000 0.5000

***

No. 6
# VGaRh2 | the Alexandria database | PBE | relaxed
# - Energy of formation from the pure elements: -0.035 eV/atom
# - Magnetic moment: 0.000 μB/atom
data_VGaRh2
_space_group_name_H-M_alt 'I -4 2 d'
_space_group_IT_number 122
_space_group_name_Hall 'I -4 2bw'
_cell_length_a 6.7615
_cell_length_b 6.7615
_cell_length_c 5.4619
_cell_angle_alpha 90.00
_cell_angle_beta 90.00
_cell_angle_gamma 90.00
loop_
_atom_site_label
_atom_site_fract_x
_atom_site_fract_y
_atom_site_fract_z
V1 0.0000 0.0000 0.0000
Ga1 0.0000 0.0000 0.5000
Rh1 0.2206 0.2500 0.1250

***

No. 7
# Ce6Bi5Cl | the Alexandria database | PBE | relaxed
# - Formation energy (no corrections): -10.51 eV per formula unit
# - Magnetic moment: 0.535 μB/atom
data_Ce6Bi5Cl
_space_group_name_H-M_alt 'C 1 2/m 1'
_space_group_IT_number 12
_space_group_name_Hall '-C 2y'
_cell_length_a 7.8978
_cell_length_b 13.5798
_cell_length_c 7.8712
_cell_angle_alpha 90.00
_cell_angle_beta 109.37
_cell_angle_gamma 90.00
loop_
_atom_site_label
_atom_site_fract_x
_atom_site_fract_y
_atom_site_fract_z
Ce1 0.2430 0.0000 0.2487
Ce2 0.2440 0.1631 0.7445
Bi1 0.0000 0.1710 0.0000
Bi2 0.0000 0.3345 0.5000
Bi3 0.0000 0.5000 0.0000
Cl1 0.0000 0.0000 0.5000

***

No. 8
# Sr4As2S | the Alexandria database | PBE | relaxed
# - Formation energy (no corrections): -9.24 eV per formula unit
# - Magnetic moment: 0.000 μB/atom
data_Sr4As2S
_space_group_name_H-M_alt 'I 41/a m d'
_space_group_IT_number 141
_cell_length_a 9.0921
_cell_length_b 9.0921
_cell_length_c 12.8509
_cell_angle_alpha 90.00
_cell_angle_beta 90.00
_cell_angle_gamma 90.00
loop_
_space_group_symop_operation_xyz
'x,y,z'
'-x,-y,-z'
'-y+1/4,x+3/4,z+1/4'
'y+1/4,-x+3/4,-z+1/4'
'-x+1/2,-y,z+1/2'
'x+1/2,y,-z+1/2'
'y+1/4,-x+1/4,z+3/4'
'-y+1/4,x+1/4,-z+3/4'
'x,-y,-z'
'-x,y,z'
'-y+1/4,-x+1/4,-z+3/4'
'y+1/4,x+1/4,z+3/4'
'-x+1/2,y,-z+1/2'
'x+1/2,-y,z+1/2'
'y+1/4,x+3/4,-z+1/4'
'-y+1/4,-x+3/4,z+1/4'
'x+1/2,y+1/2,z+1/2'
'-x+1/2,-y+1/2,-z+1/2'
'-y+3/4,x+1/4,z+3/4'
'y+3/4,-x+1/4,-z+3/4'
'-x,-y+1/2,z'
'x,y+1/2,-z'
'y+3/4,-x+3/4,z+1/4'
'-y+3/4,x+3/4,-z+1/4'
'x+1/2,-y+1/2,-z+1/2'
'-x+1/2,y+1/2,z+1/2'
'-y+3/4,-x+3/4,-z+1/4'
'y+3/4,x+3/4,z+1/4'
'-x,y+1/2,-z'
'x,-y+1/2,z'
'y+3/4,x+1/4,-z+3/4'
'-y+3/4,-x+1/4,z+3/4'
loop_
_atom_site_label
_atom_site_fract_x
_atom_site_fract_y
_atom_site_fract_z
Sr1 0.0000 0.0200 0.2599
As1 0.0000 0.0000 0.5000
S1 0.0000 0.2500 0.8750